## Li3TbU2Te6 (PBE)

Data for a geometry-optimized Li3TbU2Te6 structure.

a = 7.496 Å, b = 7.496 Å, c = 7.549 Å
α = 99.52°, β = 99.52°, γ = 120.00°
Fractional positions:
1 Li 0.000 0.000 0.000
2 Li 0.334 0.666 0.000
3 Li 0.666 0.334 0.000
4 Tb 0.500 0.500 0.500
5 U 0.167 0.833 0.500
6 U 0.833 0.167 0.500
7 Te 0.081 0.413 0.240
8 Te 0.254 0.254 0.759
9 Te 0.413 0.081 0.240
10 Te 0.587 0.919 0.760
11 Te 0.746 0.746 0.241
12 Te 0.919 0.587 0.760

Calculated values
* formation energy from raw total energies: -0.926 eV/atom